1.
Computed, not measured: a relaxed structure of TaAl2Te at the PBE level of DFT. Values from VASP.

Structure (Quantum ESPRESSO input):
```
&SYSTEM
  ibrav = 0, nat = 4, ntyp = 3
/
ATOMIC_SPECIES
Te 127.60 Te.upf
Al 26.98 Al.upf
Ta 180.95 Ta.upf
CELL_PARAMETERS angstrom
4.757 0.000 0.000
0.000 3.263 -0.274
0.000 0.414 4.897
ATOMIC_POSITIONS angstrom
Te 2.379 2.360 3.625
Al 0.000 0.809 4.727
Al 2.379 0.529 1.380
Ta 0.000 2.232 2.098
```

Calculated values
Magnetization = 0.00 μB/f.u.
Crystal system = orthorhombic
Energy relative to the elements, uncorrected = 136 meV per atom



2.
Computed, not measured: a relaxed structure of Ta2AlTe at the PBE level of DFT. Values from VASP.

Structure (Quantum ESPRESSO input):
```
&SYSTEM
  ibrav = 0, nat = 4, ntyp = 3
/
ATOMIC_SPECIES
Te 127.60 Te.upf
Al 26.98 Al.upf
Ta 180.95 Ta.upf
CELL_PARAMETERS angstrom
3.421 0.000 0.000
0.000 4.882 0.000
0.000 0.000 4.504
ATOMIC_POSITIONS angstrom
Te 1.710 0.000 2.252
Al 0.000 2.441 2.252
Ta 0.000 0.000 0.000
Ta 1.710 2.441 0.000
```

Calculated values
Magnetization = 0.00 μB/f.u.
Distance to the lowest polymorph of the same formula = 259.5 meV per atom
Crystal system = orthorhombic
Energy relative to the elements, uncorrected = 213 meV per atom



3.
Computed, not measured: a relaxed structure of TaAl2Te at the PBE level of DFT. Values from VASP.

Structure (Quantum ESPRESSO input):
```
&SYSTEM
  ibrav = 0, nat = 4, ntyp = 3
/
ATOMIC_SPECIES
Te 127.60 Te.upf
Al 26.98 Al.upf
Ta 180.95 Ta.upf
CELL_PARAMETERS angstrom
-3.075 -3.945 -6.929
-0.084 -5.484 -6.554
-2.762 -6.532 -4.768
ATOMIC_POSITIONS angstrom
Te -4.475 -12.063 -13.793
Al -5.890 -15.876 -18.153
Al -1.470 -3.964 -4.532
Ta -2.968 -8.000 -9.147
```

Calculated values
Magnetization = 0.00 μB/f.u.
Crystal system = trigonal
Energy relative to the elements, uncorrected = 161 meV per atom



4.
Computed, not measured: a relaxed structure of TaAlTe3 at the PBE level of DFT. Values from VASP.

Structure (Quantum ESPRESSO input):
```
&SYSTEM
  ibrav = 0, nat = 5, ntyp = 3
/
ATOMIC_SPECIES
Te 127.60 Te.upf
Al 26.98 Al.upf
Ta 180.95 Ta.upf
CELL_PARAMETERS angstrom
5.453 0.000 0.000
0.000 5.453 0.000
0.000 0.000 5.453
ATOMIC_POSITIONS angstrom
Te 0.000 2.727 0.000
Te 0.000 0.000 2.727
Te 2.727 0.000 0.000
Al 2.727 2.727 2.727
Ta 0.000 0.000 0.000
```

Calculated values
Magnetization = 0.00 μB/f.u.
Distance to the lowest polymorph of the same formula = 0.0 meV per atom
Crystal system = cubic
Energy relative to the elements, uncorrected = 282 meV per atom



5.
Computed, not measured: a relaxed structure of Ta2AlTe at the PBE level of DFT. Values from VASP.

Structure (Quantum ESPRESSO input):
```
&SYSTEM
  ibrav = 0, nat = 4, ntyp = 3
/
ATOMIC_SPECIES
Te 127.60 Te.upf
Al 26.98 Al.upf
Ta 180.95 Ta.upf
CELL_PARAMETERS angstrom
4.890 0.000 0.000
0.000 3.077 0.008
0.000 1.255 5.229
ATOMIC_POSITIONS angstrom
Te 0.000 1.754 2.464
Al 2.445 3.478 4.082
Ta 0.000 0.170 0.042
Ta 2.445 1.097 1.268
```

Calculated values
Magnetization = 0.00 μB/f.u.
Distance to the lowest polymorph of the same formula = 256.7 meV per atom
Crystal system = monoclinic
Energy relative to the elements, uncorrected = 210 meV per atom



6.
Computed, not measured: a relaxed structure of Ta2AlTe at the PBE level of DFT. Values from VASP.

Structure (Quantum ESPRESSO input):
```
&SYSTEM
  ibrav = 0, nat = 4, ntyp = 3
/
ATOMIC_SPECIES
Te 127.60 Te.upf
Al 26.98 Al.upf
Ta 180.95 Ta.upf
CELL_PARAMETERS angstrom
-0.641 -0.667 5.734
2.161 -3.870 -2.776
2.903 0.148 1.089
ATOMIC_POSITIONS angstrom
Te 2.532 -1.861 -0.844
Al 0.760 -2.269 1.479
Ta 0.000 0.000 0.000
Ta 1.131 -0.259 3.412
```

Calculated values
Magnetization = 0.00 μB/f.u.
Distance to the lowest polymorph of the same formula = 320.5 meV per atom
Crystal system = monoclinic
Energy relative to the elements, uncorrected = 274 meV per atom



7.
Computed, not measured: a relaxed structure of TaAl2Te at the PBE level of DFT. Values from VASP.

Structure (Quantum ESPRESSO input):
```
&SYSTEM
  ibrav = 0, nat = 4, ntyp = 3
/
ATOMIC_SPECIES
Te 127.60 Te.upf
Al 26.98 Al.upf
Ta 180.95 Ta.upf
CELL_PARAMETERS angstrom
5.261 0.020 0.010
1.797 4.945 -0.010
-3.020 -3.206 2.877
ATOMIC_POSITIONS angstrom
Te 1.098 2.071 1.434
Al 6.967 4.900 0.000
Al 2.977 -0.287 1.444
Ta 3.585 2.521 0.000
```

Calculated values
Magnetization = 0.00 μB/f.u.
Crystal system = orthorhombic
Energy relative to the elements, uncorrected = 164 meV per atom



8.
Computed, not measured: a relaxed structure of TaAl2Te at the PBE level of DFT. Values from VASP.

Structure (Quantum ESPRESSO input):
```
&SYSTEM
  ibrav = 0, nat = 4, ntyp = 3
/
ATOMIC_SPECIES
Te 127.60 Te.upf
Al 26.98 Al.upf
Ta 180.95 Ta.upf
CELL_PARAMETERS angstrom
5.621 -0.008 -0.023
-2.690 4.936 -0.023
0.888 1.493 2.790
ATOMIC_POSITIONS angstrom
Te -0.901 3.214 1.383
Al 0.000 0.000 0.000
Al 1.466 2.464 -0.023
Ta 3.255 0.743 1.383
```

Calculated values
Magnetization = 0.00 μB/f.u.
Crystal system = monoclinic
Energy relative to the elements, uncorrected = 267 meV per atom



9.
Computed, not measured: a relaxed structure of Ta2AlTe at the PBE level of DFT. Values from VASP.

Structure (Quantum ESPRESSO input):
```
&SYSTEM
  ibrav = 0, nat = 4, ntyp = 3
/
ATOMIC_SPECIES
Te 127.60 Te.upf
Al 26.98 Al.upf
Ta 180.95 Ta.upf
CELL_PARAMETERS angstrom
5.265 0.003 0.000
2.049 4.849 0.000
-3.657 -2.426 2.908
ATOMIC_POSITIONS angstrom
Te 3.657 2.426 0.000
Al 2.632 0.002 1.454
Ta 0.000 0.000 0.000
Ta 1.025 2.425 1.454
```

Calculated values
Magnetization = 0.00 μB/f.u.
Distance to the lowest polymorph of the same formula = 284.2 meV per atom
Crystal system = tetragonal
Energy relative to the elements, uncorrected = 237 meV per atom



10.
Computed, not measured: a relaxed structure of Ta2AlTe at the PBE level of DFT. Values from VASP.

Structure (Quantum ESPRESSO input):
```
&SYSTEM
  ibrav = 0, nat = 4, ntyp = 3
/
ATOMIC_SPECIES
Te 127.60 Te.upf
Al 26.98 Al.upf
Ta 180.95 Ta.upf
CELL_PARAMETERS angstrom
-3.263 -1.790 2.953
-2.752 -3.607 -1.407
0.609 -4.323 1.873
ATOMIC_POSITIONS angstrom
Te -4.055 -7.290 2.565
Al -2.703 -4.860 1.710
Ta 0.000 0.000 0.000
Ta -1.352 -2.430 0.855
```

Calculated values
Magnetization = 0.00 μB/f.u.
Distance to the lowest polymorph of the same formula = 399.0 meV per atom
Crystal system = cubic
Energy relative to the elements, uncorrected = 352 meV per atom



11.
Computed, not measured: a relaxed structure of TaAl2Te at the PBE level of DFT. Values from VASP.

Structure (Quantum ESPRESSO input):
```
&SYSTEM
  ibrav = 0, nat = 4, ntyp = 3
/
ATOMIC_SPECIES
Te 127.60 Te.upf
Al 26.98 Al.upf
Ta 180.95 Ta.upf
CELL_PARAMETERS angstrom
-1.552 -2.433 -2.184
1.816 -2.652 1.664
-4.381 -0.616 3.798
ATOMIC_POSITIONS angstrom
Te -3.127 -3.001 2.565
Al -0.098 -0.014 0.085
Al -0.976 -2.698 0.700
Ta -2.105 -0.296 1.825
```

Calculated values
Magnetization = 0.00 μB/f.u.
Crystal system = tetragonal
Energy relative to the elements, uncorrected = 124 meV per atom



12.
Computed, not measured: a relaxed structure of TaAl2Te at the PBE level of DFT. Values from VASP.

Structure (Quantum ESPRESSO input):
```
&SYSTEM
  ibrav = 0, nat = 4, ntyp = 3
/
ATOMIC_SPECIES
Te 127.60 Te.upf
Al 26.98 Al.upf
Ta 180.95 Ta.upf
CELL_PARAMETERS angstrom
2.997 0.000 0.000
0.000 2.997 0.000
0.000 0.000 9.041
ATOMIC_POSITIONS angstrom
Te 1.499 1.498 6.781
Al 0.000 0.000 0.378
Al 0.000 0.000 4.142
Ta 1.499 1.498 2.260
```

Calculated values
Magnetization = 0.00 μB/f.u.
Crystal system = tetragonal
Energy relative to the elements, uncorrected = 130 meV per atom



13.
Computed, not measured: a relaxed structure of Ta2AlTe at the PBE level of DFT. Values from VASP.

Structure (Quantum ESPRESSO input):
```
&SYSTEM
  ibrav = 0, nat = 4, ntyp = 3
/
ATOMIC_SPECIES
Te 127.60 Te.upf
Al 26.98 Al.upf
Ta 180.95 Ta.upf
CELL_PARAMETERS angstrom
0.000 3.336 3.336
3.336 0.000 3.336
3.336 3.336 0.000
ATOMIC_POSITIONS angstrom
Te 3.336 3.336 3.336
Al 0.000 0.000 0.000
Ta 1.668 1.668 1.668
Ta 5.004 5.004 5.004
```

Calculated values
Magnetization = 0.00 μB/f.u.
Distance to the lowest polymorph of the same formula = 327.0 meV per atom
Crystal system = cubic
Energy relative to the elements, uncorrected = 280 meV per atom



14.
Computed, not measured: a relaxed structure of TaAl2Te at the PBE level of DFT. Values from VASP.

Structure (Quantum ESPRESSO input):
```
&SYSTEM
  ibrav = 0, nat = 4, ntyp = 3
/
ATOMIC_SPECIES
Te 127.60 Te.upf
Al 26.98 Al.upf
Ta 180.95 Ta.upf
CELL_PARAMETERS angstrom
-2.179 -2.106 -1.909
2.419 -0.112 -2.638
2.450 -4.755 2.450
ATOMIC_POSITIONS angstrom
Te 1.958 -4.676 -0.436
Al 0.081 -0.157 0.081
Al 1.144 -2.221 1.144
Ta 0.733 -2.298 -1.661
```

Calculated values
Magnetization = 0.00 μB/f.u.
Crystal system = tetragonal
Energy relative to the elements, uncorrected = 61 meV per atom



15.
Computed, not measured: a relaxed structure of Ta2AlTe at the PBE level of DFT. Values from VASP.

Structure (Quantum ESPRESSO input):
```
&SYSTEM
  ibrav = 0, nat = 4, ntyp = 3
/
ATOMIC_SPECIES
Te 127.60 Te.upf
Al 26.98 Al.upf
Ta 180.95 Ta.upf
CELL_PARAMETERS angstrom
3.476 0.000 0.000
0.000 3.477 0.000
0.000 0.000 6.240
ATOMIC_POSITIONS angstrom
Te 1.738 1.738 1.560
Al 1.738 1.738 4.680
Ta 0.000 0.000 6.063
Ta 0.000 0.000 3.297
```

Calculated values
Magnetization = 0.00 μB/f.u.
Distance to the lowest polymorph of the same formula = 257.2 meV per atom
Crystal system = tetragonal
Energy relative to the elements, uncorrected = 210 meV per atom



16.
Computed, not measured: a relaxed structure of Ta2AlTe at the PBE level of DFT. Values from VASP.

Structure (Quantum ESPRESSO input):
```
&SYSTEM
  ibrav = 0, nat = 4, ntyp = 3
/
ATOMIC_SPECIES
Te 127.60 Te.upf
Al 26.98 Al.upf
Ta 180.95 Ta.upf
CELL_PARAMETERS angstrom
3.482 0.000 0.000
0.000 3.482 0.000
0.000 0.000 6.199
ATOMIC_POSITIONS angstrom
Te 0.000 0.000 3.014
Al 1.741 1.741 4.850
Ta 0.000 0.000 6.109
Ta 1.741 1.741 1.524
```

Calculated values
Magnetization = 0.00 μB/f.u.
Distance to the lowest polymorph of the same formula = 0.0 meV per atom
Crystal system = tetragonal
Energy relative to the elements, uncorrected = -47 meV per atom



17.
Computed, not measured: a relaxed structure of Ta2AlTe at the PBE level of DFT. Values from VASP.

Structure (Quantum ESPRESSO input):
```
&SYSTEM
  ibrav = 0, nat = 4, ntyp = 3
/
ATOMIC_SPECIES
Te 127.60 Te.upf
Al 26.98 Al.upf
Ta 180.95 Ta.upf
CELL_PARAMETERS angstrom
-2.214 -4.360 -1.090
-1.033 -2.998 -3.880
4.023 -2.771 0.351
ATOMIC_POSITIONS angstrom
Te 0.582 -7.597 -3.464
Al 0.194 -2.532 -1.155
Ta -3.179 -7.394 -4.959
Ta 0.320 -5.028 -2.321
```

Calculated values
Magnetization = 0.00 μB/f.u.
Distance to the lowest polymorph of the same formula = 177.4 meV per atom
Crystal system = monoclinic
Energy relative to the elements, uncorrected = 131 meV per atom



18.
Computed, not measured: a relaxed structure of TaAl2Te at the PBE level of DFT. Values from VASP.

Structure (Quantum ESPRESSO input):
```
&SYSTEM
  ibrav = 0, nat = 8, ntyp = 3
/
ATOMIC_SPECIES
Te 127.60 Te.upf
Al 26.98 Al.upf
Ta 180.95 Ta.upf
CELL_PARAMETERS angstrom
-5.944 4.312 2.238
-3.978 -6.350 1.670
-3.928 -0.969 4.602
ATOMIC_POSITIONS angstrom
Te -4.961 -1.019 1.954
Te -6.433 -4.169 4.113
Al -5.261 1.708 2.783
Al -4.144 -3.721 2.449
Al -6.622 -1.420 4.899
Al -11.672 -2.582 6.890
Ta 0.000 0.000 0.000
Ta -7.416 1.162 4.397
```

Calculated values
Magnetization = 0.00 μB/f.u.
Crystal system = tetragonal
Energy relative to the elements, uncorrected = 488 meV per atom



19.
Computed, not measured: a relaxed structure of TaAl2Te at the PBE level of DFT. Values from VASP.

Structure (Quantum ESPRESSO input):
```
&SYSTEM
  ibrav = 0, nat = 4, ntyp = 3
/
ATOMIC_SPECIES
Te 127.60 Te.upf
Al 26.98 Al.upf
Ta 180.95 Ta.upf
CELL_PARAMETERS angstrom
5.269 -0.031 0.000
-1.583 5.026 0.000
0.000 0.000 2.896
ATOMIC_POSITIONS angstrom
Te -0.791 2.513 1.448
Al 0.000 0.000 0.000
Al 1.843 2.497 0.000
Ta 2.634 -0.016 1.448
```

Calculated values
Magnetization = 0.00 μB/f.u.
Crystal system = orthorhombic
Energy relative to the elements, uncorrected = 207 meV per atom



20.
Computed, not measured: a relaxed structure of TaAl2Te at the PBE level of DFT. Values from VASP.

Structure (Quantum ESPRESSO input):
```
&SYSTEM
  ibrav = 0, nat = 4, ntyp = 3
/
ATOMIC_SPECIES
Te 127.60 Te.upf
Al 26.98 Al.upf
Ta 180.95 Ta.upf
CELL_PARAMETERS angstrom
5.410 -0.006 0.000
2.377 4.860 0.000
-3.893 -2.427 2.867
ATOMIC_POSITIONS angstrom
Te 2.705 -0.003 1.433
Al 0.000 0.000 0.000
Al 3.893 2.427 0.000
Ta 1.189 2.430 1.433
```

Calculated values
Magnetization = 0.00 μB/f.u.
Crystal system = tetragonal
Energy relative to the elements, uncorrected = 278 meV per atom